Entry from Alexandria via LeMat-Bulk: a relaxed structure of Na2Tl3Cd4 (PBE).

Structure (POSCAR):
```
Na2Tl3Cd4
1.0
-3.513 -0.229 1.656
0.798 -2.519 5.915
0.636 7.938 7.013
Tl Cd Na
3 4 2
direct
0.647 0.244 0.461
0.000 0.000 0.000
0.353 0.756 0.539
0.018 0.656 0.307
0.982 0.344 0.693
0.328 0.443 0.901
0.672 0.557 0.099
0.327 0.117 0.229
0.673 0.883 0.771
```

energy relative to the elements = -0.0402 eV/atom
SG = C2/m, No. 12
crystal system = monoclinic
total moment = 0.0 μB/f.u.



Entry from Alexandria via LeMat-Bulk: a relaxed structure of Na2TlCd5 (PBE).

Structure (POSCAR):
```
Na2TlCd5
1.0
5.833 -0.671 -2.860
-3.411 5.518 -0.763
-0.415 0.671 6.484
Cd Na Tl
5 2 1
direct
0.000 0.721 0.721
0.501 0.723 0.723
0.000 0.723 0.222
0.000 0.222 0.723
0.499 0.222 0.222
0.500 0.722 0.222
0.500 0.222 0.722
0.000 0.223 0.223
```

energy relative to the elements = -0.0622 eV/atom
SG = I4mm, No. 107
crystal system = tetragonal
total moment = 0.0 μB/f.u.



Entry from Alexandria via LeMat-Bulk: a relaxed structure of Na2TlCd6 (PBE).

Structure (POSCAR):
```
Na2TlCd6
1.0
6.075 0.013 -0.530
-0.610 6.046 -0.674
-0.006 0.138 6.112
Cd Na Tl
6 2 1
direct
0.169 0.500 0.831
0.831 0.500 0.169
0.831 0.169 0.500
0.500 0.831 0.169
0.500 0.169 0.831
0.169 0.831 0.500
0.332 0.332 0.332
0.668 0.668 0.668
0.000 0.000 0.000
```

energy relative to the elements = -0.0632 eV/atom
SG = C2/m, No. 12
crystal system = monoclinic
ΔE to the lowest computed polymorph = 5.0 meV per atom
total moment = 0.0 μB/f.u.



Entry from Alexandria via LeMat-Bulk: a relaxed structure of Na2Tl5Cd3 (PBE).

Structure (POSCAR):
```
Na2Tl5Cd3
1.0
-3.753 3.104 -4.291
0.380 -5.091 -8.924
-9.688 -3.212 1.241
Tl Cd Na
10 6 4
direct
0.487 0.763 0.763
0.095 0.063 0.746
0.013 0.237 0.237
0.905 0.937 0.254
0.250 0.500 0.500
0.987 0.763 0.763
0.405 0.254 0.937
0.513 0.237 0.237
0.750 0.500 0.500
0.595 0.746 0.063
0.250 0.000 0.000
0.134 0.224 0.508
0.750 0.000 0.000
0.366 0.492 0.776
0.866 0.776 0.492
0.634 0.508 0.224
0.638 0.140 0.584
0.862 0.416 0.860
0.362 0.860 0.416
0.138 0.584 0.140
```

energy relative to the elements = 0.0241 eV/atom
SG = Ibam, No. 72
crystal system = orthorhombic
ΔE to the lowest computed polymorph = 63.1 meV per atom
total moment = 0.0 μB/f.u.



Entry from Alexandria via LeMat-Bulk: a relaxed structure of Na9TlCd2 (PBE).

Structure (POSCAR):
```
Na9TlCd2
1.0
-3.578 -0.441 -3.475
3.461 -1.209 -3.411
-1.555 -13.980 3.376
Na Cd Tl
9 2 1
direct
0.500 0.500 0.665
0.500 0.500 0.335
0.500 0.500 0.000
0.000 0.500 0.500
0.500 0.000 0.500
0.500 0.000 0.168
0.000 0.500 0.168
0.500 0.000 0.832
0.000 0.500 0.832
0.000 0.000 0.667
0.000 0.000 0.333
0.000 0.000 0.000
```

energy relative to the elements = -0.0499 eV/atom
SG = P4/mmm, No. 123
crystal system = tetragonal
total moment = 0.0 μB/f.u.



Entry from Alexandria via LeMat-Bulk: a relaxed structure of Na4Tl3Cd (PBE).

Structure (POSCAR):
```
Na4Tl3Cd
1.0
4.772 0.000 -1.288
-0.343 4.764 -1.270
0.082 0.030 9.785
Tl Na Cd
3 4 1
direct
0.000 0.500 0.000
0.751 0.252 0.502
0.249 0.748 0.498
0.376 0.376 0.752
0.124 0.124 0.248
0.876 0.876 0.752
0.624 0.624 0.248
0.500 0.000 0.000
```

energy relative to the elements = -0.0904 eV/atom
SG = C2/m, No. 12
crystal system = monoclinic
ΔE to the lowest computed polymorph = 4.5 meV per atom
total moment = 0.0 μB/f.u.